Density functional theory data (PBE-GGA) for a relaxed structure of MgAlTl2.

Cell: 6.408 6.408 6.408 Å, 149.04 131.81 58.39°
Fractional positions:
1 Tl 0.269 0.769 0.500
2 Tl 0.992 0.992 0.000
3 Mg 0.729 0.229 0.500
4 Al 0.511 0.511 0.000

Calculated values
The space-group type is Imm2, No. 44. Its formation energy is 0.132 eV/atom. For the offset from the most stable computed form, the calculation gives 0.041 eV/atom.